(1)
Density functional theory data (PBE-GGA) for a relaxed HgPW crystal.

```
data_HgPW
_cell_length_a 3.1835
_cell_length_b 4.7259
_cell_length_c 16.1217
_cell_angle_alpha 90.00
_cell_angle_beta 90.00
_cell_angle_gamma 90.00
_symmetry_space_group_name_H-M 'F m m 2'
_symmetry_Int_Tables_number 42
_symmetry_space_group_name_Hall 'F 2 -2'
loop_
_atom_site_label
_atom_site_type_symbol
_atom_site_fract_x
_atom_site_fract_y
_atom_site_fract_z
Hg1 Hg 0.0000 0.0000 0.0000
P1 P 0.0000 0.0000 0.2749
W1 W 0.0000 0.0000 0.6631
```

ΔE to the lowest computed polymorph: 0.176 eV per atom
Energy of formation from the pure elements: 0.4670 eV per atom


(2)
Density functional theory data (PBE-GGA) for a relaxed CoSi2BOs crystal.

```
data_CoSi2BOs
_cell_length_a 4.0625
_cell_length_b 4.0625
_cell_length_c 4.7946
_cell_angle_alpha 90.00
_cell_angle_beta 90.00
_cell_angle_gamma 90.00
_symmetry_space_group_name_H-M 'P 4/m m m'
_symmetry_Int_Tables_number 123
_symmetry_space_group_name_Hall '-P 4 2'
loop_
_atom_site_label
_atom_site_type_symbol
_atom_site_fract_x
_atom_site_fract_y
_atom_site_fract_z
Co1 Co 0.0000 0.0000 0.0000
Si1 Si 0.0000 0.5000 0.0000
B1 B 0.5000 0.5000 0.5000
Os1 Os 0.0000 0.0000 0.5000
```

Formation energy without anion corrections: 1.4805 eV/atom


(3)
Density functional theory data (PBE-GGA) for a relaxed Cr2SbPt crystal.

```
data_Cr2SbPt
_cell_length_a 5.6591
_cell_length_b 5.6591
_cell_length_c 11.3288
_cell_angle_alpha 90.00
_cell_angle_beta 90.00
_cell_angle_gamma 90.00
_symmetry_space_group_name_H-M 'I -4 2 d'
_symmetry_Int_Tables_number 122
_symmetry_space_group_name_Hall 'I -4 2bw'
loop_
_atom_site_label
_atom_site_type_symbol
_atom_site_fract_x
_atom_site_fract_y
_atom_site_fract_z
Cr1 Cr 0.2124 0.2500 0.1250
Sb1 Sb 0.0000 0.0000 0.5000
Pt1 Pt 0.0000 0.0000 0.0000
```

Formation energy without anion corrections: 0.9763 eV/atom


Going through the records in order, we get E_tot values of -5.75 -5.69 -6.38 eV per atom.
Going through the records in order, we get calculated volume values of 20.2 15.8 22.7 Å³/atom.
Going through the records in order, we get magnetization values of 0.00 0.47 0.00 μB/atom.